The following is a PBE-GGA calculation of BaLiPO4 after structural relaxation, from Alexandria via LeMat-Bulk.

Results
* VASP energy: -47.18 eV/cell

POSCAR file:
```
BaLiPO4
1.0
0.000 3.850 3.850
3.850 0.000 3.850
3.850 3.850 0.000
Ba Li P O
1 1 1 4
direct
0.000 0.000 0.000 Ba
0.750 0.750 0.750 Li
0.500 0.500 0.500 P
0.153 0.616 0.616 O
0.616 0.153 0.616 O
0.616 0.616 0.153 O
0.616 0.616 0.616 O
```